# 1
Below is crystalline SrY2Nb at its relaxed geometry, with properties calculated at the PBE level.

Values from the calculation:
For the relative energy among the computed polymorphs, the calculation gives 0.707 eV per atom.

CIF file:
```
data_SrY2Nb
_chemical_formula_sum 'Sr4 Y8 Nb4'
_space_group_name_H-M_alt 'I 41/a m d'
_space_group_IT_number 141
_cell_length_a 7.3981
_cell_length_b 7.3981
_cell_length_c 13.8458
_cell_angle_alpha 90.00
_cell_angle_beta 90.00
_cell_angle_gamma 90.00
loop_
_space_group_symop_operation_xyz
'x,y,z'
'-x,-y,-z'
'-y+1/4,x+3/4,z+1/4'
'y+1/4,-x+3/4,-z+1/4'
'-x+1/2,-y,z+1/2'
'x+1/2,y,-z+1/2'
'y+1/4,-x+1/4,z+3/4'
'-y+1/4,x+1/4,-z+3/4'
'x,-y,-z'
'-x,y,z'
'-y+1/4,-x+1/4,-z+3/4'
'y+1/4,x+1/4,z+3/4'
'-x+1/2,y,-z+1/2'
'x+1/2,-y,z+1/2'
'y+1/4,x+3/4,-z+1/4'
'-y+1/4,-x+3/4,z+1/4'
'x+1/2,y+1/2,z+1/2'
'-x+1/2,-y+1/2,-z+1/2'
'-y+3/4,x+1/4,z+3/4'
'y+3/4,-x+1/4,-z+3/4'
'-x,-y+1/2,z'
'x,y+1/2,-z'
'y+3/4,-x+3/4,z+1/4'
'-y+3/4,x+3/4,-z+1/4'
'x+1/2,-y+1/2,-z+1/2'
'-x+1/2,y+1/2,z+1/2'
'-y+3/4,-x+3/4,-z+1/4'
'y+3/4,x+3/4,z+1/4'
'-x,y+1/2,-z'
'x,-y+1/2,z'
'y+3/4,x+1/4,-z+3/4'
'-y+3/4,-x+1/4,z+3/4'
loop_
_atom_site_label
_atom_site_fract_x
_atom_site_fract_y
_atom_site_fract_z
Sr1 0.0000 0.2500 0.3750
Y1 0.0000 0.0000 0.0000
Nb1 0.0000 0.2500 0.8750
```



# 2
Below is crystalline MgZnMo2 at its relaxed geometry, with properties calculated at the PBE level.

Values from the calculation:
For the relative energy among the computed polymorphs, the calculation gives 0.114 eV per atom.

CIF file:
```
data_MgZnMo2
_chemical_formula_sum 'Mg2 Zn2 Mo4'
_space_group_name_H-M_alt 'I -4 m 2'
_space_group_IT_number 119
_space_group_name_Hall 'I -4 -2'
_cell_length_a 4.4764
_cell_length_b 4.4764
_cell_length_c 6.3498
_cell_angle_alpha 90.00
_cell_angle_beta 90.00
_cell_angle_gamma 90.00
loop_
_atom_site_label
_atom_site_fract_x
_atom_site_fract_y
_atom_site_fract_z
Mg1 0.0000 0.0000 0.0000
Zn1 0.0000 0.5000 0.2500
Mo1 0.0000 0.0000 0.5000
Mo2 0.0000 0.5000 0.7500
```



# 3
Below is crystalline Ca3AlGa2 at its relaxed geometry, with properties calculated at the PBE level.

Values from the calculation:
For the relative energy among the computed polymorphs, the calculation gives 0.024 eV per atom.

CIF file:
```
data_Ca3AlGa2
_chemical_formula_sum 'Ca12 Al4 Ga8'
_space_group_name_H-M_alt 'P 1 21/c 1'
_space_group_IT_number 14
_cell_length_a 7.7169
_cell_length_b 9.9351
_cell_length_c 9.6022
_cell_angle_alpha 90.00
_cell_angle_beta 117.70
_cell_angle_gamma 90.00
loop_
_space_group_symop_operation_xyz
'x,y,z'
'-x,-y,-z'
'-x,y+1/2,-z+1/2'
'x,-y+1/2,z+1/2'
loop_
_atom_site_label
_atom_site_fract_x
_atom_site_fract_y
_atom_site_fract_z
Ca1 0.1870 0.1365 0.4984
Ca2 0.2572 0.0161 0.1505
Ca3 0.2863 0.6442 0.2853
Al1 0.3942 0.1682 0.8606
Ga1 0.0142 0.1247 0.7428
Ga2 0.4059 0.6166 0.0106
```



# 4
Below is crystalline HfAlGa2 at its relaxed geometry, with properties calculated at the PBE level.

CIF file:
```
data_HfAlGa2
_chemical_formula_sum 'Hf4 Al4 Ga8'
_space_group_name_H-M_alt 'I m m a'
_space_group_IT_number 74
_space_group_name_Hall '-I 2b 2'
_cell_length_a 5.7506
_cell_length_b 6.7772
_cell_length_c 7.1651
_cell_angle_alpha 90.00
_cell_angle_beta 90.00
_cell_angle_gamma 90.00
loop_
_atom_site_label
_atom_site_fract_x
_atom_site_fract_y
_atom_site_fract_z
Hf1 0.0000 0.2500 0.0654
Al1 0.0000 0.2500 0.4630
Ga1 0.2500 0.0542 0.7500
```



# 5
Below is crystalline AcHgPdPt at its relaxed geometry, with properties calculated at the PBE level.

Values from the calculation:
For the relative energy among the computed polymorphs, the calculation gives 0.000 eV per atom.

CIF file:
```
data_AcHgPdPt
_chemical_formula_sum 'Ac4 Hg4 Pd4 Pt4'
_space_group_name_H-M_alt 'F -4 3 m'
_space_group_IT_number 216
_space_group_name_Hall 'F -4 2 3'
_cell_length_a 7.1574
_cell_length_b 7.1574
_cell_length_c 7.1574
_cell_angle_alpha 90.00
_cell_angle_beta 90.00
_cell_angle_gamma 90.00
loop_
_atom_site_label
_atom_site_fract_x
_atom_site_fract_y
_atom_site_fract_z
Ac1 0.0000 0.0000 0.0000
Hg1 0.0000 0.0000 0.5000
Pd1 0.2500 0.2500 0.2500
Pt1 0.2500 0.2500 0.7500
```



# 6
Below is crystalline HgRuSeN2 at its relaxed geometry, with properties calculated at the PBE level.

Values from the calculation:
For the relative energy among the computed polymorphs, the calculation gives 1.636 eV per atom.

CIF file:
```
data_HgRuSeN2
_chemical_formula_sum 'Hg1 Ru1 Se1 N2'
_space_group_name_H-M_alt 'P 4/m m m'
_space_group_IT_number 123
_space_group_name_Hall '-P 4 2'
_cell_length_a 4.0422
_cell_length_b 4.0422
_cell_length_c 6.3795
_cell_angle_alpha 90.00
_cell_angle_beta 90.00
_cell_angle_gamma 90.00
loop_
_atom_site_label
_atom_site_fract_x
_atom_site_fract_y
_atom_site_fract_z
Hg1 0.0000 0.0000 0.0000
Ru1 0.5000 0.5000 0.5000
Se1 0.0000 0.0000 0.5000
N1 0.0000 0.5000 0.0000
```



# 7
Below is crystalline Nd3YMg at its relaxed geometry, with properties calculated at the PBE level.

Values from the calculation:
For the relative energy among the computed polymorphs, the calculation gives 0.052 eV per atom.

CIF file:
```
data_Nd3YMg
_chemical_formula_sum 'Nd6 Y2 Mg2'
_space_group_name_H-M_alt 'P m m n'
_space_group_IT_number 59
_cell_length_a 3.8430
_cell_length_b 10.6978
_cell_length_c 8.2588
_cell_angle_alpha 90.00
_cell_angle_beta 90.00
_cell_angle_gamma 90.00
loop_
_space_group_symop_operation_xyz
'x,y,z'
'-x,-y,-z'
'-x+1/2,-y+1/2,z'
'x+1/2,y+1/2,-z'
'x+1/2,-y,-z'
'-x+1/2,y,z'
'-x,y+1/2,-z'
'x,-y+1/2,z'
loop_
_atom_site_label
_atom_site_fract_x
_atom_site_fract_y
_atom_site_fract_z
Nd1 0.2500 0.0029 0.2456
Nd2 0.2500 0.7500 0.9451
Y1 0.2500 0.7500 0.5558
Mg1 0.2500 0.2500 0.7443
```



# 8
Below is crystalline CsInHg2Br8 at its relaxed geometry, with properties calculated at the PBE level.

CIF file:
```
data_CsInHg2Br8
_chemical_formula_sum 'Cs1 In1 Hg2 Br8'
_space_group_name_H-M_alt 'P -1'
_space_group_IT_number 2
_cell_length_a 6.8597
_cell_length_b 7.2162
_cell_length_c 9.7011
_cell_angle_alpha 77.01
_cell_angle_beta 82.11
_cell_angle_gamma 84.24
loop_
_space_group_symop_operation_xyz
'x,y,z'
'-x,-y,-z'
loop_
_atom_site_label
_atom_site_fract_x
_atom_site_fract_y
_atom_site_fract_z
Cs1 0.0000 0.0000 0.0000
In1 0.0000 0.5000 0.5000
Hg1 0.4721 0.4548 0.2320
Br1 0.1312 0.5467 0.7510
Br2 0.2632 0.2120 0.4826
Br3 0.2655 0.7419 0.3270
Br4 0.4722 0.2220 0.0627
```



no.,E_tot (eV per atom)
1,-4.946
2,-5.891
3,-2.908
4,-5.257
5,-4.511
6,-3.572
7,-4.356
8,-2.258